First-principles (GGA-PBEsol) data for an optimized crystal structure of Cu4PCl, as listed in Alexandria via LeMat-Bulk.

Summary:
ΔE_f (raw)   -0.064 eV per atom
Final energy   -4.253 eV/atom

a b c (Å): 6.858 6.362 4.910
angles (deg): 90.00 90.00 90.00
Fractional positions:
Cu  0.000  0.239  0.000
Cu  0.000  0.760  0.998
Cu  0.194  0.000  0.672
Cu  0.306  0.000  0.172
Cu  0.500  0.240  0.498
Cu  0.500  0.761  0.500
Cu  0.694  0.000  0.172
Cu  0.806  0.000  0.672
P  0.000  0.999  0.314
P  0.500  0.001  0.814
Cl  0.000  0.499  0.717
Cl  0.500  0.501  0.217